## Zr2TcP (GGA-PBEsol)

Data for crystalline Zr2TcP at its relaxed geometry.

Computed properties:
ΔE_f ... -0.6035 eV/atom
ρ ... 7748 kg/m3
Space-group type ... Cmmm

Structure (POSCAR):
```
Zr2TcP
1.0
3.307 0.000 0.000
0.000 4.549 -0.048
0.000 -0.964 4.446
P Tc Zr
1 1 2
Direct
0.500 0.500 0.500
0.500 0.000 0.000
0.000 0.000 0.500
0.000 0.500 0.000
```

=====

## SrMg2 (GGA-PBEsol)

Data for crystalline SrMg2 at its relaxed geometry.

Computed properties:
ΔE_f ... -0.1119 eV/atom
ρ ... 2475 kg/m3
Space-group type ... P6_3/mmc

Structure (POSCAR):
```
SrMg2
1.0
-6.063 2.057 -0.158
1.280 -6.077 1.565
0.655 2.691 9.912
Mg Sr
8 4
Direct
0.000 0.000 0.000
0.000 0.000 0.500
0.167 0.833 0.750
0.666 0.833 0.750
0.167 0.334 0.750
0.833 0.167 0.250
0.334 0.167 0.250
0.833 0.666 0.250
0.667 0.333 0.940
0.333 0.667 0.440
0.333 0.667 0.060
0.667 0.333 0.560
```

=====

## AgAu2 (GGA-PBEsol)

Data for crystalline AgAu2 at its relaxed geometry.

Computed properties:
ΔE_f ... -0.0140 eV/atom
ρ ... 16480 kg/m3
Space-group type ... P-3m1

Structure (POSCAR):
```
AgAu2
1.0
-2.531 1.193 -0.109
-1.872 -3.819 1.663
1.421 3.275 2.848
Au Ag
2 1
Direct
0.658 0.667 0.333
0.342 0.333 0.667
0.000 0.000 0.000
```

=====

## SmIn5Rh (GGA-PBEsol)

Data for crystalline SmIn5Rh at its relaxed geometry.

Computed properties:
ΔE_f ... -0.4910 eV/atom
ρ ... 8762 kg/m3
Space-group type ... P4/mmm

Structure (POSCAR):
```
SmIn5Rh
1.0
4.595 0.000 0.000
0.000 4.595 0.000
0.000 0.000 7.425
Rh Sm In
1 1 5
Direct
0.000 0.000 0.500
0.000 0.000 0.000
0.500 0.500 0.000
0.500 0.000 0.698
0.000 0.500 0.302
0.500 0.000 0.302
0.000 0.500 0.698
```

=====

## InAgP2 (GGA-PBEsol)

Data for crystalline InAgP2 at its relaxed geometry.

Computed properties:
ΔE_f ... 0.4447 eV/atom
ρ ... 6587 kg/m3
Space-group type ... I-4m2

Structure (POSCAR):
```
InAgP2
1.0
3.873 0.000 0.000
0.000 3.873 0.000
-1.937 -1.937 4.783
Ag In P
1 1 2
Direct
0.500 0.500 0.000
0.250 0.750 0.500
0.000 0.000 0.000
0.750 0.250 0.500
```

=====

## PaHgO3 (GGA-PBEsol)

Data for crystalline PaHgO3 at its relaxed geometry.

Computed properties:
Formation energy (no corrections) ... -54.41 kcal/mol of atoms
ρ ... 9860 kg/m3
Space-group type ... Pm-3m

Structure (POSCAR):
```
PaHgO3
1.0
4.323 0.000 0.000
0.000 4.323 0.000
0.000 0.000 4.323
Pa Hg O
1 1 3
Direct
0.500 0.500 0.500
0.000 0.000 0.000
0.500 0.500 0.000
0.500 0.000 0.500
0.000 0.500 0.500
```

=====

## RbZrBSb2 (GGA-PBEsol)

Data for crystalline RbZrBSb2 at its relaxed geometry.

Computed properties:
Formation energy (no corrections) ... 10.73 kcal/mol of atoms
ρ ... 5731 kg/m3
Space-group type ... P4/mmm

Structure (POSCAR):
```
RbZrBSb2
1.0
-2.922 -0.356 -3.461
-3.796 -1.374 3.346
-1.309 5.043 0.586
Sb B Rb Zr
2 1 1 1
Direct
0.000 0.000 0.500
0.000 0.500 0.000
0.000 0.000 0.000
0.500 0.500 0.500
0.500 0.000 0.000
```

=====

## CdSiW2 (GGA-PBEsol)

Data for crystalline CdSiW2 at its relaxed geometry.

Computed properties:
Formation energy (no corrections) ... 13.89 kcal/mol of atoms
ρ ... 13427 kg/m3
Space-group type ... F-43m

Structure (POSCAR):
```
CdSiW2
1.0
4.463 0.000 0.000
2.231 3.865 0.000
2.231 1.288 3.644
Cd Si W
1 1 2
Direct
0.500 0.500 0.500
0.750 0.750 0.750
0.000 0.000 0.000
0.250 0.250 0.250
```

=====

Which value of ρ does entry 3 give? 16480 kg/m3

=====

Copy entry 3 word for word.
## AgAu2 (GGA-PBEsol)

Data for crystalline AgAu2 at its relaxed geometry.

Computed properties:
ΔE_f ... -0.0140 eV/atom
ρ ... 16480 kg/m3
Space-group type ... P-3m1

Structure (POSCAR):
```
AgAu2
1.0
-2.531 1.193 -0.109
-1.872 -3.819 1.663
1.421 3.275 2.848
Au Ag
2 1
Direct
0.658 0.667 0.333
0.342 0.333 0.667
0.000 0.000 0.000
```

=====

Which value of ρ does entry 2 give? 2475 kg/m3